# SiBPd2 PBEsol relaxed
# Raw formation energy in eV per atom: 0.087
data_SiBPd2
_chemical_formula_sum 'Si4 B4 Pd8'
_symmetry_space_group_name_H-M 'F m -3 m'
_symmetry_Int_Tables_number 225
_symmetry_space_group_name_Hall '-F 4 2 3'
_cell_length_a 5.7744
_cell_length_b 5.7744
_cell_length_c 5.7744
_cell_angle_alpha 90.00
_cell_angle_beta 90.00
_cell_angle_gamma 90.00
loop_
_atom_site_label
_atom_site_type_symbol
_atom_site_fract_x
_atom_site_fract_y
_atom_site_fract_z
Si1 Si 0.0000 0.0000 0.0000
B1 B 0.0000 0.0000 0.5000
Pd1 Pd 0.2500 0.2500 0.2500

***

# Ti2PIr2 PBEsol relaxed
# Energy of formation in eV/atom: -0.2180
data_Ti2PIr2
_chemical_formula_sum 'Ti4 P2 Ir4'
_symmetry_space_group_name_H-M 'I 4/m m m'
_symmetry_Int_Tables_number 139
_symmetry_space_group_name_Hall '-I 4 2'
_cell_length_a 3.6633
_cell_length_b 3.6633
_cell_length_c 12.6004
_cell_angle_alpha 90.00
_cell_angle_beta 90.00
_cell_angle_gamma 90.00
loop_
_atom_site_label
_atom_site_type_symbol
_atom_site_fract_x
_atom_site_fract_y
_atom_site_fract_z
Ti1 Ti 0.0000 0.0000 0.1126
P1 P 0.0000 0.0000 0.5000
Ir1 Ir 0.0000 0.5000 0.2500

***

# LiMgZn2 PBEsol relaxed
# Energy of formation in eV/atom: -0.1252
data_LiMgZn2
_chemical_formula_sum 'Li1 Mg1 Zn2'
_symmetry_space_group_name_H-M 'P 1 m 1'
_symmetry_Int_Tables_number 6
_cell_length_a 2.9234
_cell_length_b 4.2819
_cell_length_c 5.4193
_cell_angle_alpha 90.00
_cell_angle_beta 105.77
_cell_angle_gamma 90.00
loop_
_symmetry_equiv_pos_as_xyz
'x,y,z'
'x,-y,z'
loop_
_atom_site_label
_atom_site_type_symbol
_atom_site_fract_x
_atom_site_fract_y
_atom_site_fract_z
Li1 Li 0.0000 0.0000 0.0000
Mg1 Mg 0.6632 0.5000 0.3282
Zn1 Zn 0.2723 0.0000 0.5473
Zn2 Zn 0.4012 0.5000 0.8018

***

Copy entry 1 word for word.
# SiBPd2 PBEsol relaxed
# Raw formation energy in eV per atom: 0.087
data_SiBPd2
_chemical_formula_sum 'Si4 B4 Pd8'
_symmetry_space_group_name_H-M 'F m -3 m'
_symmetry_Int_Tables_number 225
_symmetry_space_group_name_Hall '-F 4 2 3'
_cell_length_a 5.7744
_cell_length_b 5.7744
_cell_length_c 5.7744
_cell_angle_alpha 90.00
_cell_angle_beta 90.00
_cell_angle_gamma 90.00
loop_
_atom_site_label
_atom_site_type_symbol
_atom_site_fract_x
_atom_site_fract_y
_atom_site_fract_z
Si1 Si 0.0000 0.0000 0.0000
B1 B 0.0000 0.0000 0.5000
Pd1 Pd 0.2500 0.2500 0.2500